First-principles (GGA-PBE) data for crystalline Li8SnS6 at its relaxed geometry, as listed in the Alexandria database.

Cell: 7.209 7.456 10.525 Å, 90.00 90.00 90.00°
Atoms (fractional coordinates):
Li 0.000 0.143 0.000
Li 0.000 0.243 0.442
Li 0.207 0.577 0.787
Li 0.215 0.737 0.108
Li 0.216 0.943 0.780
Li 0.284 0.057 0.280
Li 0.285 0.263 0.608
Li 0.293 0.423 0.287
Li 0.500 0.757 0.942
Li 0.500 0.857 0.500
Li 0.707 0.423 0.287
Li 0.715 0.263 0.608
Li 0.716 0.057 0.280
Li 0.784 0.943 0.780
Li 0.785 0.737 0.108
Li 0.793 0.577 0.787
Sn 0.000 0.747 0.468
Sn 0.500 0.253 0.968
S 0.000 0.014 0.599
S 0.000 0.241 0.227
S 0.000 0.482 0.601
S 0.000 0.781 0.931
S 0.230 0.258 0.840
S 0.270 0.742 0.340
S 0.500 0.219 0.431
S 0.500 0.518 0.101
S 0.500 0.759 0.727
S 0.500 0.986 0.099
S 0.730 0.742 0.340
S 0.770 0.258 0.840

Values from the calculation:
SG: No. 31
Formation energy (no corrections) (eV/atom): -1.094
Theoretical density (g/cm3): 2.15